CaTi2V | PBE-GGA | relaxed

The relative energy among the computed polymorphs is 0.000 eV per atom. The calculation puts the formation energy at 617 meV/atom. As for the crystal system: cubic.

The structure belongs to space group Fm-3m (No. 225); the cell edges are 6.804, 6.804 and 6.804 Å and the angles 90.00°, 90.00° and 90.00°. The inequivalent atoms are Ca at (0.000, 0.000, 0.000), Ti at (0.250, 0.250, 0.250) and V at (0.000, 0.000, 0.500).

Ca2TiV | PBE-GGA | relaxed

The relative energy among the computed polymorphs is 0.000 eV per atom. The calculation puts the formation energy at 793 meV/atom. As for the crystal system: cubic.

The structure belongs to space group Fm-3m (No. 225); the cell edges are 7.525, 7.525 and 7.525 Å and the angles 90.00°, 90.00° and 90.00°. The inequivalent atoms are Ca at (0.250, 0.250, 0.250), Ti at (0.000, 0.000, 0.000) and V at (0.000, 0.000, 0.500).